# Rb2AgOsO6 (PBE, relaxed)
# DOS(E_F): 6.50 states/eV/f.u.
# E: -5.48 eV/atom
# ρ: 4.8 g cm⁻³
# E_form (uncorrected): -9.0 eV/f.u.
data_Rb2AgOsO6
_chemical_formula_sum 'Rb2 Ag1 Os1 O6'
_cell_length_a 6.2658
_cell_length_b 6.2658
_cell_length_c 5.7871
_cell_angle_alpha 90.00
_cell_angle_beta 90.00
_cell_angle_gamma 120.00
_symmetry_space_group_name_H-M 'P -3 m 1'
_symmetry_Int_Tables_number 164
_symmetry_space_group_name_Hall '-P 3 2"'
loop_
_atom_site_label
_atom_site_type_symbol
_atom_site_fract_x
_atom_site_fract_y
_atom_site_fract_z
Rb1 Rb 0.3333 0.6667 0.1897
Ag1 Ag 0.0000 0.0000 0.5000
Os1 Os 0.0000 0.0000 0.0000
O1 O 0.1406 0.2812 0.8092

# Rb2InAg2 (PBE, relaxed)
# DOS(E_F): 2.82 states/eV/f.u.
# Formation enthalpy at 0 K: 308 meV/atom
# E: -1.77 eV/atom
# ρ: 4.5 g cm⁻³
data_Rb2InAg2
_chemical_formula_sum 'Rb4 In2 Ag4'
_cell_length_a 10.174
_cell_length_b 10.174
_cell_length_c 3.602
_cell_angle_alpha 90.00
_cell_angle_beta 90.00
_cell_angle_gamma 90.00
_symmetry_space_group_name_H-M 'P 4/m b m'
_symmetry_Int_Tables_number 127
_symmetry_space_group_name_Hall '-P 4 2ab'
loop_
_atom_site_label
_atom_site_type_symbol
_atom_site_fract_x
_atom_site_fract_y
_atom_site_fract_z
Rb1 Rb 0.143 0.357 0.000
In1 In 0.000 0.000 0.000
Ag1 Ag 0.157 0.657 0.500

# La2TmZr (PBE, relaxed)
# DOS(E_F): 4.71 states/eV/f.u.
# Formation enthalpy at 0 K: 157 meV/atom
# E: -5.56 eV/atom
# ρ: 7.2 g cm⁻³
data_La2TmZr
_chemical_formula_sum 'La2 Tm1 Zr1'
_cell_length_a 4.083
_cell_length_b 4.083
_cell_length_c 7.417
_cell_angle_alpha 90.00
_cell_angle_beta 90.00
_cell_angle_gamma 90.00
_symmetry_space_group_name_H-M 'P 4/m m m'
_symmetry_Int_Tables_number 123
_symmetry_space_group_name_Hall '-P 4 2'
loop_
_atom_site_label
_atom_site_type_symbol
_atom_site_fract_x
_atom_site_fract_y
_atom_site_fract_z
La1 La 0.000 0.000 0.231
Tm1 Tm 0.500 0.500 0.500
Zr1 Zr 0.500 0.500 0.000